No. 1
First-principles (PBE-GGA) data for Ba4Na5N after structural relaxation, as listed in Alexandria via LeMat-Bulk.

Cell lengths 4.0857, 11.3530, 9.8569 Å; angles 101.99, 101.96, 90.00 degrees
Closest atoms and distances in Å follow each position.
Positions (direct):
Ba: 0.6474 0.0403 0.2949  1 N 2.78
Ba: 0.0046 0.1683 0.0093  2 N 2.79
Ba: 0.3526 0.9597 0.7051  1 N 2.78
Ba: 0.9954 0.8317 0.9907  2 N 2.79
Na: 0.1868 0.3870 0.3735  7 Na 3.66-4.09, 1 Ba 3.85
Na: 0.1653 0.6999 0.3306  7 Na 3.66-4.09, 1 Ba 3.88
Na: 0.8347 0.3001 0.6694  7 Na 3.66-4.09, 1 Ba 3.88
Na: 0.5000 0.5000 0.0000  6 Na 4.05-4.09, 4 Ba 4.30
Na: 0.8132 0.6130 0.6265  7 Na 3.66-4.09, 1 Ba 3.85
N: 0.5000 0.0000 0.0000  6 Ba 2.78-2.79

**Crystal system**: monoclinic
**Magnetization**: 0.0 μB/f.u.
**Space group**: C2/m
**Uncorrected formation energy**: -0.064 eV/atom
**Calculated density**: 2.6 g cm⁻³
**Energy**: -2.326 eV per atom

No. 2
First-principles (PBE-GGA) data for BaNaN after structural relaxation, as listed in Alexandria via LeMat-Bulk.

Cell lengths 4.0403, 4.5077, 13.0472 Å; angles 77.54, 106.11, 115.67 degrees
Closest atoms and distances in Å follow each position.
Positions (direct):
Ba: 0.3904 0.1107 0.8230  4 N 2.60-2.90
Ba: 0.8548 0.6098 0.0643  4 N 2.60-2.90
Na: 0.3833 0.0988 0.3363  5 Na 3.61-4.04
Na: 0.8619 0.6217 0.5510  5 Na 3.61-4.04
N: 0.0718 0.2122 0.9703  1 N 1.31
N: 0.1735 0.5084 0.9170  1 N 1.31

**Crystal system**: triclinic
**Magnetization**: 0.0 μB/f.u.
**Space group**: P-1
**Uncorrected formation energy**: -0.286 eV/atom
**Calculated density**: 2.8 g cm⁻³
**Energy**: -4.142 eV per atom

No. 3
First-principles (PBE-GGA) data for BaNaN3 after structural relaxation, as listed in Alexandria via LeMat-Bulk.

Cell lengths 4.7846, 4.7846, 4.7846 Å; angles 90.00, 90.00, 90.00 degrees
Closest atoms and distances in Å follow each position.
Positions (direct):
Na: 0.5000 0.5000 0.5000  12 N 3.38
Ba: 0.0000 0.0000 0.0000  6 N 2.39
N: 0.0000 0.5000 0.0000  2 Ba 2.39
N: 0.0000 0.0000 0.5000  2 Ba 2.39
N: 0.5000 0.0000 0.0000  2 Ba 2.39

**Crystal system**: cubic
**Magnetization**: 4.0 μB/f.u.
**Space group**: Pm-3m
**Uncorrected formation energy**: 1.869 eV/atom
**Calculated density**: 3.1 g cm⁻³
**Energy**: -3.775 eV per atom

No. 4
First-principles (PBE-GGA) data for BaNa3N after structural relaxation, as listed in Alexandria via LeMat-Bulk.

Cell lengths 5.1427, 5.1427, 5.1427 Å; angles 90.00, 90.00, 90.00 degrees
Closest atoms and distances in Å follow each position.
Positions (direct):
Na: 0.0000 0.5000 0.0000  2 N 2.57
Na: 0.0000 0.0000 0.5000  2 N 2.57
Na: 0.5000 0.0000 0.0000  2 N 2.57
Ba: 0.5000 0.5000 0.5000  12 Na 3.64
N: 0.0000 0.0000 0.0000  6 Na 2.57

**Crystal system**: cubic
**Magnetization**: 1.2 μB/f.u.
**Space group**: Pm-3m
**Uncorrected formation energy**: 0.431 eV/atom
**Calculated density**: 2.7 g cm⁻³
**Energy**: -2.410 eV per atom
**Energy relative to the lowest polymorph listed for this composition**: 0.0 meV/atom